Density functional theory data (GGA-PBE) for crystalline CdBi2Pt at its relaxed geometry.

Cell lengths 9.2037, 9.2037, 9.2037 Å; angles 26.17, 26.17, 26.17 degrees
Fractional positions:
1 Cd 0.0000 0.0000 0.0000
2 Bi 0.1140 0.1140 0.1140
3 Bi 0.8860 0.8860 0.8860
4 Pt 0.5000 0.5000 0.5000

- formation enthalpy at 0 K (eV/f.u.) = -0.2
- total DFT energy (no corrections) (eV/atom) = -3.730
- crystal system = trigonal
- calculated volume (Å³ per atom) = 33.4
- symmetry = R-3m